Record 1
Co14NiPt after structural relaxation, computed with PBE.

Symmetry: Amm2 (38)

POSCAR file:
```
Co14NiPt
1.0
-3.848 1.880 -2.703
-0.581 -4.308 2.598
-2.480 4.245 6.484
Co Ni Pt
14 1 1
Direct
0.082 0.918 0.000 Co
0.584 0.416 0.000 Co
0.083 0.418 0.500 Co
0.082 0.415 0.000 Co
0.582 0.917 0.500 Co
0.585 0.918 0.000 Co
0.414 0.078 0.756 Co
0.414 0.078 0.244 Co
0.922 0.586 0.756 Co
0.922 0.586 0.244 Co
0.414 0.586 0.756 Co
0.414 0.586 0.244 Co
0.917 0.083 0.750 Co
0.917 0.083 0.250 Co
0.084 0.916 0.500 Ni
0.584 0.416 0.500 Pt
```

Record 2
Co2NiPt3 after structural relaxation, computed with PBE.

Energy above the most stable polymorph in this dataset, eV/atom: 0.000
Symmetry: Cmmm (65)

POSCAR file:
```
Co2NiPt3
1.0
3.837 0.000 0.018
1.919 5.742 0.009
-0.034 0.000 7.374
Co Ni Pt
4 2 6
Direct
0.000 0.000 0.000 Co
0.000 0.000 0.500 Co
0.334 0.331 0.500 Co
0.666 0.669 0.500 Co
0.335 0.329 0.000 Ni
0.665 0.671 0.000 Ni
0.833 0.333 0.749 Pt
0.500 0.000 0.251 Pt
0.167 0.667 0.251 Pt
0.833 0.333 0.251 Pt
0.167 0.667 0.749 Pt
0.500 0.000 0.749 Pt
```

Record 3
CoNi3Pt4 after structural relaxation, computed with PBE.

Energy above the most stable polymorph in this dataset, eV/atom: 0.000
Symmetry: Fmmm (69)

POSCAR file:
```
CoNi3Pt4
1.0
3.713 -0.002 -1.000
-0.268 3.708 -0.982
0.117 0.088 7.794
Ni Co Pt
3 1 4
Direct
0.000 0.500 0.000 Ni
0.751 0.251 0.502 Ni
0.249 0.749 0.498 Ni
0.500 0.000 0.000 Co
0.376 0.376 0.751 Pt
0.624 0.624 0.249 Pt
0.124 0.125 0.249 Pt
0.876 0.875 0.751 Pt
```

Number 1: energy of formation -0.02 eV/atom. Number 2: energy of formation -0.11 eV/atom. Number 3: energy of formation -0.10 eV/atom.